Run 1
The following is a DFT calculation (GGA-PBE) of a relaxed structure of Sc2Mn2H.

Computed properties:
- symmetry = P4/mbm
- total magnetization (Bohr magnetons per cell) = 11.17

Unit cell a=5.654 b=5.654 c=4.800 alpha=90.00 beta=90.00 gamma=90.00
Site moments in Bohr magnetons follow the coordinates.
Sites, in units of the cell vectors:
Sc 0.165 0.665 0.500  -0.24
Sc 0.665 0.835 0.500  -0.23
Sc 0.835 0.335 0.500  -0.24
Sc 0.335 0.165 0.500  -0.23
H 0.000 0.000 0.000  -0.04
H 0.500 0.500 0.000  -0.04
Mn 0.336 0.836 0.000  3.02
Mn 0.836 0.664 0.000  3.04
Mn 0.664 0.164 0.000  3.02
Mn 0.164 0.336 0.000  3.04



Run 2
The following is a DFT calculation (GGA-PBE) of a relaxed structure of Sc2Mn2H.

Computed properties:
- symmetry = I4/mmm
- total magnetization (Bohr magnetons per cell) = 3.75

Unit cell a=5.165 b=5.165 c=4.696 alpha=56.64 beta=56.64 gamma=90.00
Site moments in Bohr magnetons follow the coordinates.
Sites, in units of the cell vectors:
Sc 0.750 0.250 0.500  -0.46
Sc 0.250 0.750 0.500  -0.46
H 0.000 0.000 0.000  -0.02
Mn 0.289 0.289 0.423  2.45
Mn 0.711 0.711 0.577  2.45



Which of them is least stable? Easy: run 2.



Run 1
The following is a DFT calculation (GGA-PBE) of a relaxed structure of Sc2MnH.

Computed properties:
- symmetry = R-3m
- total magnetization (Bohr magnetons per cell) = 0.02

Unit cell a=7.744 b=7.744 c=7.744 alpha=24.23 beta=24.23 gamma=24.23
Sites, in units of the cell vectors:
Sc 0.912 0.912 0.912
Sc 0.088 0.088 0.088
H 0.000 0.000 0.000
Mn 0.500 0.500 0.500



Run 2
The following is a DFT calculation (GGA-PBE) of a relaxed structure of Sc2MnH.

Computed properties:
- symmetry = I-42d
- total magnetization (Bohr magnetons per cell) = 5.26

Unit cell a=6.301 b=6.301 c=5.486 alpha=54.95 beta=54.95 gamma=90.00
Site moments in Bohr magnetons follow the coordinates.
Sites, in units of the cell vectors:
Sc 0.531 0.125 0.250  -0.27
Sc 0.219 0.625 0.250  -0.26
Sc 0.375 0.469 0.750  -0.27
Sc 0.875 0.781 0.750  -0.26
H 0.500 0.500 0.000  0.01
H 0.250 0.750 0.500  0.01
Mn 0.000 0.000 0.000  3.25
Mn 0.750 0.250 0.500  3.25



Run 3
The following is a DFT calculation (GGA-PBE) of a relaxed structure of Sc2MnH.

Computed properties:
- symmetry = Fm-3m
- total magnetization (Bohr magnetons per cell) = 0.18

Unit cell a=4.360 b=4.360 c=4.360 alpha=60.00 beta=60.00 gamma=60.00
Site moments in Bohr magnetons follow the coordinates.
Sites, in units of the cell vectors:
Sc 0.250 0.250 0.250  -0.09
Sc 0.750 0.750 0.750  -0.09
H 0.000 0.000 0.000  0.00
Mn 0.500 0.500 0.500  0.40



Run 4
The following is a DFT calculation (GGA-PBE) of a relaxed structure of Sc2MnH.

Computed properties:
- symmetry = R-3m
- total magnetization (Bohr magnetons per cell) = 3.56

Unit cell a=8.130 b=8.130 c=8.130 alpha=22.00 beta=22.00 gamma=22.00
Site moments in Bohr magnetons follow the coordinates.
Sites, in units of the cell vectors:
Sc 0.886 0.886 0.886  -0.10
Sc 0.114 0.114 0.114  -0.10
H 0.500 0.500 0.500  0.00
Mn 0.000 0.000 0.000  3.72



Which of them is least stable? Easy: run 3.



Run 1
The following is a DFT calculation (GGA-PBE) of a relaxed structure of MnHSe3.

Computed properties:
- symmetry = Pm-3m
- total magnetization (Bohr magnetons per cell) = 0.03

Unit cell a=4.218 b=4.218 c=4.218 alpha=90.00 beta=90.00 gamma=90.00
Sites, in units of the cell vectors:
H 0.000 0.000 0.000
Mn 0.500 0.500 0.500
Se 0.000 0.500 0.000
Se 0.000 0.000 0.500
Se 0.500 0.000 0.000



Run 2
The following is a DFT calculation (GGA-PBE) of a relaxed structure of MnHSe3.

Computed properties:
- symmetry = Pm-3m
- total magnetization (Bohr magnetons per cell) = 1.04

Unit cell a=4.703 b=4.703 c=4.703 alpha=90.00 beta=90.00 gamma=90.00
Site moments in Bohr magnetons follow the coordinates.
Sites, in units of the cell vectors:
H 0.500 0.500 0.500  0.33
Mn 0.000 0.000 0.000  0.28
Se 0.000 0.500 0.000  -0.01
Se 0.000 0.000 0.500  0.01
Se 0.500 0.000 0.000  -0.03



Which of them is least stable? Easy: run 1.